NdSmCd2: relaxed, PBE.

abc: 3.8639 5.4026 5.4026
angles: 90.00 90.00 90.00
With the nearest neighbours (Å) after each atom.
Fractional coordinates of all 4 atoms:
Sm1 0.5000 0.5000 0.5000  8 Cd 3.32
Cd1 0.0000 0.0000 0.5000  4 Sm 3.32, 4 Nd 3.32
Cd2 0.0000 0.5000 0.0000  4 Sm 3.32, 4 Nd 3.32
Nd1 0.5000 0.0000 0.0000  8 Cd 3.32

Output
For the density, the calculation gives 7.6 g/cm3. For the calculated volume, the calculation gives 28.2 Å³/atom. The total energy comes out at -3.147 eV/atom. The value obtained for the formation energy is -318 meV/atom.



GaBI: relaxed, PBE.

abc: 5.5452 8.4197 6.4496
angles: 106.41 90.00 90.00
With the nearest neighbours (Å) after each atom.
Fractional coordinates of all 12 atoms:
B1 0.0640 0.5942 0.0415  1 B 1.68
B2 0.5640 0.9058 0.9585  1 B 1.68
B3 0.4360 0.0942 0.0415  1 B 1.68
B4 0.9360 0.4058 0.9585  1 B 1.68
Ga1 0.1849 0.2068 0.8789  2 B 2.12
Ga2 0.8151 0.7932 0.1211  2 B 2.12
Ga3 0.3151 0.7068 0.8789  2 B 2.12
Ga4 0.6849 0.2932 0.1211  2 B 2.12
I1 0.8422 0.9004 0.6853  1 B 2.33
I2 0.1578 0.0996 0.3147  1 B 2.33
I3 0.3422 0.5996 0.3147  1 B 2.33
I4 0.6578 0.4004 0.6853  1 B 2.33

Output
Its uncorrected formation energy is 0.2051 eV/atom. For the density, the calculation gives 4.8 g/cm3. For the calculated volume, the calculation gives 24.1 Å³/atom. The total energy comes out at -3.546 eV/atom.